Entry 1:
First-principles (GGA-PBE) data for a relaxed Ti2VAs crystal, as listed in Alexandria.

distance to the lowest polymorph of the same formula: 533 meV/atom
formation energy from the elements: 89 meV/atom

Structure (CIF):
```
data_Ti2VAs
_cell_length_a 7.2786
_cell_length_b 7.2786
_cell_length_c 5.0511
_cell_angle_alpha 90.00
_cell_angle_beta 90.00
_cell_angle_gamma 90.00
_space_group_name_H-M_alt 'I -4 2 d'
_space_group_IT_number 122
_space_group_name_Hall 'I -4 2bw'
loop_
_atom_site_label
_atom_site_type_symbol
_atom_site_fract_x
_atom_site_fract_y
_atom_site_fract_z
_atom_site_occupancy
Ti1 Ti 0.2249 0.2500 0.1250 1
V1 V 0.0000 0.0000 0.5000 1
As1 As 0.0000 0.0000 0.0000 1
```


Entry 2:
First-principles (GGA-PBE) data for a relaxed Ti8VAs2 crystal, as listed in Alexandria.

formation energy from the elements: -374 meV/atom

Structure (CIF):
```
data_Ti8VAs2
_cell_length_a 15.4939
_cell_length_b 3.6973
_cell_length_c 6.8427
_cell_angle_alpha 90.00
_cell_angle_beta 112.89
_cell_angle_gamma 90.00
_space_group_name_H-M_alt 'C 1 2/m 1'
_space_group_IT_number 12
_space_group_name_Hall '-C 2y'
loop_
_atom_site_label
_atom_site_type_symbol
_atom_site_fract_x
_atom_site_fract_y
_atom_site_fract_z
_atom_site_occupancy
Ti1 Ti 0.0379 0.0000 0.2878 1
Ti2 Ti 0.0816 0.5000 0.9575 1
Ti3 Ti 0.1718 0.0000 0.7704 1
Ti4 Ti 0.1728 0.5000 0.4366 1
V1 V 0.0000 0.5000 0.5000 1
As1 As 0.1953 0.0000 0.1807 1
```


Entry 3:
First-principles (GGA-PBE) data for a relaxed TiV12As6 crystal, as listed in Alexandria.

formation energy from the elements: -124 meV/atom

Structure (CIF):
```
data_TiV12As6
_cell_length_a 11.1166
_cell_length_b 11.1166
_cell_length_c 8.2422
_cell_angle_alpha 90.00
_cell_angle_beta 90.00
_cell_angle_gamma 120.00
_space_group_name_H-M_alt 'R -3 m'
_space_group_IT_number 166
_space_group_name_Hall '-R 3 2"'
loop_
_atom_site_label
_atom_site_type_symbol
_atom_site_fract_x
_atom_site_fract_y
_atom_site_fract_z
_atom_site_occupancy
Ti1 Ti 0.0000 0.0000 0.0000 1
V1 V 0.0000 0.3885 0.5000 1
V2 V 0.0807 0.1613 0.3280 1
As1 As 0.0201 0.5101 0.2473 1
```


Entry 4:
First-principles (GGA-PBE) data for a relaxed TiVAs2 crystal, as listed in Alexandria.

distance to the lowest polymorph of the same formula: 81 meV/atom
formation energy from the elements: -574 meV/atom

Structure (CIF):
```
data_TiVAs2
_cell_length_a 3.5461
_cell_length_b 3.5461
_cell_length_c 18.3444
_cell_angle_alpha 90.00
_cell_angle_beta 90.00
_cell_angle_gamma 120.00
_space_group_name_H-M_alt 'R 3 m'
_space_group_IT_number 160
_space_group_name_Hall 'R 3 -2"'
loop_
_atom_site_label
_atom_site_type_symbol
_atom_site_fract_x
_atom_site_fract_y
_atom_site_fract_z
_atom_site_occupancy
Ti1 Ti 0.0000 0.0000 0.0000 1
V1 V 0.0000 0.0000 0.8262 1
As1 As 0.0000 0.0000 0.4157 1
As2 As 0.0000 0.0000 0.5777 1
```


Entry 5:
First-principles (GGA-PBE) data for a relaxed Ti4VAs crystal, as listed in Alexandria.

formation energy from the elements: 39 meV/atom

Structure (CIF):
```
data_Ti4VAs
_cell_length_a 6.0696
_cell_length_b 6.0697
_cell_length_c 5.9748
_cell_angle_alpha 90.00
_cell_angle_beta 90.11
_cell_angle_gamma 90.00
_space_group_name_H-M_alt 'C 1 2/m 1'
_space_group_IT_number 12
_space_group_name_Hall '-C 2y'
loop_
_atom_site_label
_atom_site_type_symbol
_atom_site_fract_x
_atom_site_fract_y
_atom_site_fract_z
_atom_site_occupancy
Ti1 Ti 0.2497 0.2501 0.2322 1
V1 V 0.0000 0.0000 0.0000 1
As1 As 0.0000 0.5000 0.5000 1
```


Entry 6:
First-principles (GGA-PBE) data for a relaxed TiV5As4 crystal, as listed in Alexandria.

formation energy from the elements: -161 meV/atom

Structure (CIF):
```
data_TiV5As4
_cell_length_a 7.3131
_cell_length_b 7.9179
_cell_length_c 5.7890
_cell_angle_alpha 90.00
_cell_angle_beta 90.00
_cell_angle_gamma 90.00
_space_group_name_H-M_alt 'P m m n'
_space_group_IT_number 59
loop_
_space_group_symop_operation_xyz
'x,y,z'
'-x,-y,-z'
'-x+1/2,-y+1/2,z'
'x+1/2,y+1/2,-z'
'x+1/2,-y,-z'
'-x+1/2,y,z'
'-x,y+1/2,-z'
'x,-y+1/2,z'
loop_
_atom_site_label
_atom_site_type_symbol
_atom_site_fract_x
_atom_site_fract_y
_atom_site_fract_z
_atom_site_occupancy
Ti1 Ti 0.2500 0.2500 0.1536 1
V1 V 0.0784 0.0489 0.7782 1
V2 V 0.2500 0.7500 0.8300 1
As1 As 0.0148 0.7500 0.5413 1
As2 As 0.2500 0.5542 0.1381 1
```


Entry 7:
First-principles (GGA-PBE) data for a relaxed TiVAs2 crystal, as listed in Alexandria.

distance to the lowest polymorph of the same formula: 149 meV/atom
formation energy from the elements: -506 meV/atom

Structure (CIF):
```
data_TiVAs2
_cell_length_a 3.6994
_cell_length_b 3.6994
_cell_length_c 17.3741
_cell_angle_alpha 90.00
_cell_angle_beta 90.00
_cell_angle_gamma 120.00
_space_group_name_H-M_alt 'R -3 m'
_space_group_IT_number 166
_space_group_name_Hall '-R 3 2"'
loop_
_atom_site_label
_atom_site_type_symbol
_atom_site_fract_x
_atom_site_fract_y
_atom_site_fract_z
_atom_site_occupancy
Ti1 Ti 0.0000 0.0000 0.0000 1
V1 V 0.0000 0.0000 0.5000 1
As1 As 0.0000 0.0000 0.2476 1
```


Entry 8:
First-principles (GGA-PBE) data for a relaxed TiAs3W crystal, as listed in Alexandria.

distance to the lowest polymorph of the same formula: 0 meV/atom
formation energy from the elements: 688 meV/atom

Structure (CIF):
```
data_TiAs3W
_cell_length_a 4.8838
_cell_length_b 4.8838
_cell_length_c 4.8838
_cell_angle_alpha 90.00
_cell_angle_beta 90.00
_cell_angle_gamma 90.00
_space_group_name_H-M_alt 'P m -3 m'
_space_group_IT_number 221
_space_group_name_Hall '-P 4 2 3'
loop_
_atom_site_label
_atom_site_type_symbol
_atom_site_fract_x
_atom_site_fract_y
_atom_site_fract_z
_atom_site_occupancy
Ti1 Ti 0.0000 0.0000 0.0000 1
As1 As 0.0000 0.5000 0.5000 1
W1 W 0.5000 0.5000 0.5000 1
```